Entry 1:
This record from Alexandria via LeMat-Bulk describes crystalline CsTiSe2 at its relaxed geometry. The functional is PBE.

Summary:
uncorrected formation energy: -1.12 eV/atom

a = 8.792 Å, b = 8.792 Å, c = 6.837 Å
α = 90.00°, β = 90.00°, γ = 90.00°
Space group I4/mcm (No. 140)
Unique sites:
Cs1 0.000 0.000 0.250 (multiplicity 4)
Ti1 0.000 0.500 0.250 (multiplicity 4)
Se1 0.147 0.353 0.000 (multiplicity 8)


Entry 2:
This record from Alexandria via LeMat-Bulk describes crystalline CsTiSe2 at its relaxed geometry. The functional is PBE.

Summary:
uncorrected formation energy: -1.23 eV/atom

a = 6.208 Å, b = 7.778 Å, c = 7.778 Å
α = 119.25°, β = 90.12°, γ = 90.13°
Space group P1 (No. 1)
Unique sites:
Cs1 0.000 0.000 0.000 (multiplicity 1)
Cs2 0.500 0.376 0.624 (multiplicity 1)
Ti1 0.248 0.799 0.424 (multiplicity 1)
Ti2 0.748 0.800 0.423 (multiplicity 1)
Se1 0.497 0.751 0.156 (multiplicity 1)
Se2 0.499 0.889 0.702 (multiplicity 1)
Se3 0.997 0.532 0.374 (multiplicity 1)
Se4 0.999 0.078 0.514 (multiplicity 1)


Entry 3:
This record from Alexandria via LeMat-Bulk describes crystalline CsTiSe2 at its relaxed geometry. The functional is PBE.

Summary:
uncorrected formation energy: -1.16 eV/atom

a = 7.411 Å, b = 3.673 Å, c = 10.104 Å
α = 90.00°, β = 109.73°, γ = 90.00°
Space group P2_1/m (No. 11)
Unique sites:
Cs1 0.129 0.250 0.303 (multiplicity 2)
Ti1 0.453 0.750 0.862 (multiplicity 2)
Se1 0.281 0.750 0.036 (multiplicity 2)
Se2 0.297 0.250 0.682 (multiplicity 2)


The evaluated V for the records listed, in turn: 33.03, 40.96, 32.36 Å³/atom.